1.
The following is a DFT calculation (PBE) of a geometry-optimized HoZn9Cu2 structure.

CIF file:
```
data_HoZn9Cu2
_cell_length_a 8.4941
_cell_length_b 8.4941
_cell_length_c 3.0043
_cell_angle_alpha 90.00
_cell_angle_beta 90.00
_cell_angle_gamma 120.00
_symmetry_space_group_name_H-M 'P 6/m m m'
_symmetry_Int_Tables_number 191
_symmetry_space_group_name_Hall '-P 6 2'
loop_
_atom_site_label
_atom_site_type_symbol
_atom_site_fract_x
_atom_site_fract_y
_atom_site_fract_z
_atom_site_occupancy
Ho1 Ho 0.0000 0.0000 0.0000 1
Zn1 Zn 0.0000 0.5000 0.0000 1
Zn2 Zn 0.1862 0.3724 0.5000 1
Cu1 Cu 0.3333 0.6667 0.0000 1
```

=====

2.
The following is a DFT calculation (PBE) of a geometry-optimized Ho2Zn5Cu12 structure.

CIF file:
```
data_Ho2Zn5Cu12
_cell_length_a 8.6315
_cell_length_b 8.6315
_cell_length_c 12.7358
_cell_angle_alpha 90.00
_cell_angle_beta 90.00
_cell_angle_gamma 120.00
_symmetry_space_group_name_H-M 'R -3 m'
_symmetry_Int_Tables_number 166
_symmetry_space_group_name_Hall '-R 3 2"'
loop_
_atom_site_label
_atom_site_type_symbol
_atom_site_fract_x
_atom_site_fract_y
_atom_site_fract_z
_atom_site_occupancy
Ho1 Ho 0.0000 0.0000 0.1483 1
Zn1 Zn 0.0000 0.0000 0.4007 1
Zn2 Zn 0.0000 0.5000 0.0000 1
Cu1 Cu 0.0000 0.3031 0.5000 1
Cu2 Cu 0.0040 0.5020 0.6536 1
```

=====

3.
The following is a DFT calculation (PBE) of a geometry-optimized Ho3ZnCu2 structure.

CIF file:
```
data_Ho3ZnCu2
_cell_length_a 3.479
_cell_length_b 3.479
_cell_length_c 10.475
_cell_angle_alpha 90.00
_cell_angle_beta 90.00
_cell_angle_gamma 90.00
_symmetry_space_group_name_H-M 'P 4/m m m'
_symmetry_Int_Tables_number 123
_symmetry_space_group_name_Hall '-P 4 2'
loop_
_atom_site_label
_atom_site_type_symbol
_atom_site_fract_x
_atom_site_fract_y
_atom_site_fract_z
_atom_site_occupancy
Ho1 Ho 0.000 0.000 0.000 1
Ho2 Ho 0.000 0.000 0.328 1
Zn1 Zn 0.500 0.500 0.500 1
Cu1 Cu 0.500 0.500 0.167 1
```

=====

4.
The following is a DFT calculation (PBE) of a geometry-optimized Ho3Zn2Cu9 structure.

CIF file:
```
data_Ho3Zn2Cu9
_cell_length_a 4.163
_cell_length_b 8.784
_cell_length_c 12.318
_cell_angle_alpha 90.00
_cell_angle_beta 90.00
_cell_angle_gamma 90.00
_symmetry_space_group_name_H-M 'I m m m'
_symmetry_Int_Tables_number 71
_symmetry_space_group_name_Hall '-I 2 2'
loop_
_atom_site_label
_atom_site_type_symbol
_atom_site_fract_x
_atom_site_fract_y
_atom_site_fract_z
_atom_site_occupancy
Ho1 Ho 0.000 0.000 0.000 1
Ho2 Ho 0.000 0.000 0.299 1
Zn1 Zn 0.000 0.202 0.500 1
Cu1 Cu 0.000 0.283 0.127 1
Cu2 Cu 0.000 0.359 0.330 1
Cu3 Cu 0.000 0.500 0.000 1
```

=====

5.
The following is a DFT calculation (PBE) of a geometry-optimized HoZn4Cu4 structure.

CIF file:
```
data_HoZn4Cu4
_cell_length_a 8.031
_cell_length_b 8.031
_cell_length_c 4.347
_cell_angle_alpha 90.00
_cell_angle_beta 90.00
_cell_angle_gamma 90.00
_symmetry_space_group_name_H-M 'I 4/m'
_symmetry_Int_Tables_number 87
_symmetry_space_group_name_Hall '-I 4'
loop_
_atom_site_label
_atom_site_type_symbol
_atom_site_fract_x
_atom_site_fract_y
_atom_site_fract_z
_atom_site_occupancy
Ho1 Ho 0.000 0.000 0.000 1
Zn1 Zn 0.085 0.369 0.000 1
Cu1 Cu 0.125 0.217 0.500 1
```

=====

6.
The following is a DFT calculation (PBE) of a geometry-optimized HoZn2Cu8 structure.

CIF file:
```
data_HoZn2Cu8
_cell_length_a 4.801
_cell_length_b 4.801
_cell_length_c 8.452
_cell_angle_alpha 90.00
_cell_angle_beta 90.00
_cell_angle_gamma 90.00
_symmetry_space_group_name_H-M 'P 4/m m m'
_symmetry_Int_Tables_number 123
_symmetry_space_group_name_Hall '-P 4 2'
loop_
_atom_site_label
_atom_site_type_symbol
_atom_site_fract_x
_atom_site_fract_y
_atom_site_fract_z
_atom_site_occupancy
Ho1 Ho 0.000 0.000 0.000 1
Zn1 Zn 0.000 0.500 0.500 1
Cu1 Cu 0.252 0.252 0.273 1
```

=====

7.
The following is a DFT calculation (PBE) of a geometry-optimized Ho3Zn7Cu2 structure.

CIF file:
```
data_Ho3Zn7Cu2
_cell_length_a 5.3396
_cell_length_b 5.3396
_cell_length_c 25.7188
_cell_angle_alpha 90.00
_cell_angle_beta 90.00
_cell_angle_gamma 120.00
_symmetry_space_group_name_H-M 'R -3 m'
_symmetry_Int_Tables_number 166
_symmetry_space_group_name_Hall '-R 3 2"'
loop_
_atom_site_label
_atom_site_type_symbol
_atom_site_fract_x
_atom_site_fract_y
_atom_site_fract_z
_atom_site_occupancy
Ho1 Ho 0.0000 0.0000 0.0000 1
Ho2 Ho 0.0000 0.0000 0.1412 1
Zn1 Zn 0.0000 0.0000 0.5000 1
Zn2 Zn 0.0041 0.5020 0.9199 1
Cu1 Cu 0.0000 0.0000 0.3343 1
```

=====

8.
The following is a DFT calculation (PBE) of a geometry-optimized HoZnCu structure.

CIF file:
```
data_HoZnCu
_cell_length_a 4.3271
_cell_length_b 4.3271
_cell_length_c 3.5521
_cell_angle_alpha 90.00
_cell_angle_beta 90.00
_cell_angle_gamma 120.00
_symmetry_space_group_name_H-M 'P -6 m 2'
_symmetry_Int_Tables_number 187
_symmetry_space_group_name_Hall 'P -6 2'
loop_
_atom_site_label
_atom_site_type_symbol
_atom_site_fract_x
_atom_site_fract_y
_atom_site_fract_z
_atom_site_occupancy
Ho1 Ho 0.0000 0.0000 0.0000 1
Zn1 Zn 0.3333 0.6667 0.5000 1
Cu1 Cu 0.6667 0.3333 0.5000 1
```

=====

Which magnetization belongs to each record? In order, 0.0000 0.0000 0.0000 0.0000 0.0000 0.0000 0.0000 0.0000 μB per atom.
Which final energy belongs to each record? In order, -25.68 -67.80 -24.95 -56.38 -26.47 -36.94 -34.39 -10.90 eV per formula unit.